(1)
Entry from Alexandria via LeMat-Bulk: crystalline YSi2Pt4 at its relaxed geometry (GGA-PBE).

Uncorrected formation energy: -903 meV/atom
DOS(E_F): 3.49 states/eV/f.u.
Crystal system: orthorhombic

Cell lengths 16.7337, 4.2005, 6.6526 Å; angles 90.00, 90.00, 90.00 degrees
Space group Pnma (No. 62)
Symmetry-distinct sites (fractional):
Y 0.1414 0.2500 0.0389 x4
Si 0.0363 0.7500 0.2461 x4
Si 0.2084 0.2500 0.5961 x4
Pt 0.0317 0.7500 0.8668 x4
Pt 0.0657 0.2500 0.4985 x4
Pt 0.1719 0.7500 0.3731 x4
Pt 0.2151 0.7500 0.7902 x4

***

(2)
Entry from Alexandria via LeMat-Bulk: crystalline YSiPt4 at its relaxed geometry (GGA-PBE).

Uncorrected formation energy: -548 meV/atom
DOS(E_F): 4.68 states/eV/f.u.
Crystal system: cubic

Cell lengths 7.5603, 7.5603, 7.5603 Å; angles 90.00, 90.00, 90.00 degrees
Space group F-43m (No. 216)
Symmetry-distinct sites (fractional):
Y 0.0000 0.0000 0.0000 x4
Si 0.2500 0.2500 0.2500 x4
Pt 0.1247 0.1247 0.6247 x16

***

(3)
Entry from Alexandria via LeMat-Bulk: crystalline Y3SiPt at its relaxed geometry (GGA-PBE).

Uncorrected formation energy: -235 meV/atom
DOS(E_F): 6.89 states/eV/f.u.
Crystal system: cubic

Cell lengths 5.3472, 5.3472, 5.3472 Å; angles 90.00, 90.00, 90.00 degrees
Space group Pm-3m (No. 221)
Symmetry-distinct sites (fractional):
Y 0.0000 0.0000 0.5000 x3
Si 0.5000 0.5000 0.5000 x1
Pt 0.0000 0.0000 0.0000 x1

***

(4)
Entry from Alexandria via LeMat-Bulk: crystalline Y2Si3Pt3 at its relaxed geometry (GGA-PBE).

Uncorrected formation energy: 372 meV/atom
DOS(E_F): 6.63 states/eV/f.u.
Crystal system: tetragonal

Cell lengths 2.8466, 2.8466, 20.4073 Å; angles 90.00, 90.00, 90.00 degrees
Space group P4/mmm (No. 123)
Symmetry-distinct sites (fractional):
Y 0.0000 0.0000 0.2479 x2
Si 0.0000 0.0000 0.0000 x1
Si 0.0000 0.0000 0.3855 x2
Pt 0.0000 0.0000 0.1131 x2
Pt 0.0000 0.0000 0.5000 x1